Computed, not measured: a geometry-optimized SrOsPb2N structure at the PBE-GGA level of DFT.

```
SrOsPb2N
1.0
5.178 0.000 0.000
0.000 5.178 0.000
0.000 0.000 6.033
Sr Os Pb N
1 1 2 1
direct
0.000 0.000 0.000 Sr
0.000 0.000 0.500 Os
0.000 0.500 0.500 Pb
0.500 0.000 0.500 Pb
0.500 0.500 0.000 N
```

Summary:
- M_tot: 1.881 μB/f.u.
- Energy relative to the elements, uncorrected: 1.040 eV/atom
- Density of states at the Fermi level: 1.02 states/eV per atom

Computed, not measured: a geometry-optimized Sr2OsPbN structure at the PBE-GGA level of DFT.

```
Sr2OsPbN
1.0
5.603 0.000 0.000
0.000 5.603 0.000
0.000 0.000 3.835
Sr Os Pb N
2 1 1 1
direct
0.000 0.500 0.000 Sr
0.500 0.000 0.000 Sr
0.000 0.000 0.500 Os
0.500 0.500 0.500 Pb
0.000 0.000 0.000 N
```

Summary:
- M_tot: 0.000 μB/f.u.
- Energy relative to the elements, uncorrected: -0.329 eV/atom
- Density of states at the Fermi level: 0.48 states/eV per atom

Computed, not measured: a geometry-optimized Os2Pd2N structure at the PBE-GGA level of DFT.

```
Os2Pd2N
1.0
-1.735 1.735 6.411
1.735 -1.735 6.411
1.735 1.735 -6.411
Os Pd N
2 2 1
direct
0.091 0.091 0.000 Os
0.909 0.909 0.000 Os
0.250 0.750 0.500 Pd
0.750 0.250 0.500 Pd
0.500 0.500 0.000 N
```

Summary:
- M_tot: 0.000 μB/f.u.
- Offset from the most stable computed form: 1.190 eV per atom
- Energy relative to the elements, uncorrected: 1.753 eV/atom
- Density of states at the Fermi level: 1.09 states/eV per atom

Computed, not measured: a geometry-optimized OsPdN2 structure at the PBE-GGA level of DFT.

```
OsPdN2
1.0
0.000 2.735 2.735
2.735 0.000 2.735
2.735 2.735 0.000
Os Pd N
1 1 2
direct
0.000 0.000 0.000 Os
0.500 0.500 0.500 Pd
0.250 0.250 0.250 N
0.750 0.750 0.750 N
```

Summary:
- M_tot: 0.000 μB/f.u.
- Offset from the most stable computed form: 1.009 eV per atom
- Energy relative to the elements, uncorrected: 1.578 eV/atom
- Density of states at the Fermi level: 0.97 states/eV per atom